Record 1
## NaTi2As2 (PBE)

Data for crystalline NaTi2As2 at its relaxed geometry.

- energy of formation (eV/atom) = -0.26
- offset from the most stable computed form (eV/atom) = 0.352
- total magnetic moment (μB/f.u.) = 0.91
- final energy (eV per atom) = -5.537

Cell lengths 4.9184, 4.9184, 5.6548 Å; angles 64.22, 64.22, 90.00 degrees
Site moments in Bohr magnetons follow the coordinates.
Positions (direct):
As1 0.2500 0.7500 0.5000  -0.03
As2 0.7500 0.2500 0.5000  -0.03
Ti1 0.3345 0.3345 0.3310  0.34
Ti2 0.6655 0.6655 0.6690  0.34
Na1 0.0000 0.0000 0.0000  0.00

***

Record 2
## K2LiFe (PBE)

Data for crystalline K2LiFe at its relaxed geometry.

- energy of formation (eV/atom) = 0.67
- offset from the most stable computed form (eV/atom) = 0.000
- total magnetic moment (μB/f.u.) = 2.74
- final energy (eV per atom) = -2.477

Cell lengths 3.7114, 3.7114, 10.1365 Å; angles 90.00, 90.00, 89.99 degrees
Site moments in Bohr magnetons follow the coordinates.
Positions (direct):
Fe1 0.5000 0.5000 0.6689  3.04
K1 0.5000 0.5000 0.3248  -0.01
K2 0.0000 0.0000 0.9187  -0.01
Li1 0.0000 0.0000 0.5876  -0.06

***

Record 3
## FeSbPb (PBE)

Data for crystalline FeSbPb at its relaxed geometry.

- total magnetic moment (μB/f.u.) = 1.83
- ΔE_f (raw) (meV/atom) = 271
- final energy (eV per atom) = -5.160

Cell lengths 6.8534, 6.8534, 3.2658 Å; angles 76.22, 76.21, 27.57 degrees
Site moments in Bohr magnetons follow the coordinates.
Positions (direct):
Pb1 0.6369 0.6369 0.3631  -0.04
Sb1 0.3785 0.3786 0.6215  -0.07
Fe1 0.9846 0.9846 0.0154  2.03

***

Record 4
## Sr3Mg2In3 (PBE)

Data for crystalline Sr3Mg2In3 at its relaxed geometry.

- energy of formation (eV/atom) = -0.34
- total magnetic moment (μB/f.u.) = 0.00
- final energy (eV per atom) = -2.395

Cell lengths 5.0224, 6.7139, 16.6109 Å; angles 90.00, 90.00, 111.96 degrees
Positions (direct):
Mg1 0.7856 0.5712 0.9116
Mg2 0.7856 0.5712 0.5884
Mg3 0.2144 0.4288 0.4116
Mg4 0.2144 0.4288 0.0884
In1 0.3932 0.7864 0.5408
In2 0.3373 0.6747 0.2500
In3 0.6068 0.2136 0.4592
In4 0.3932 0.7864 0.9592
In5 0.6627 0.3253 0.7500
In6 0.6068 0.2136 0.0408
Sr1 0.3678 0.7356 0.7500
Sr2 0.0820 0.1641 0.6111
Sr3 0.6322 0.2644 0.2500
Sr4 0.9180 0.8359 0.3889
Sr5 0.9180 0.8359 0.1111
Sr6 0.0820 0.1641 0.8889

***

Record 5
## Ca2In2Br (PBE)

Data for crystalline Ca2In2Br at its relaxed geometry.

- total magnetic moment (μB/f.u.) = 0.00
- ΔE_f (raw) (meV/atom) = -641
- final energy (eV per atom) = -2.871

Cell lengths 7.9205, 7.9205, 5.0647 Å; angles 90.00, 90.00, 90.00 degrees
Positions (direct):
Ca1 0.8309 0.6691 0.0000
Ca2 0.3309 0.8309 0.0000
Ca3 0.6691 0.1691 0.0000
Ca4 0.1691 0.3309 0.0000
In1 0.8700 0.3700 0.5000
In2 0.6300 0.8700 0.5000
In3 0.3700 0.1300 0.5000
In4 0.1300 0.6300 0.5000
Br1 0.0000 0.0000 0.0000
Br2 0.5000 0.5000 0.0000

***

Record 6
## NaRe (PBE)

Data for crystalline NaRe at its relaxed geometry.

- energy of formation (eV/atom) = 3.12
- offset from the most stable computed form (eV/atom) = 2.411
- total magnetic moment (μB/f.u.) = 1.05
- final energy (eV per atom) = -3.767

Cell lengths 5.3803, 5.3803, 5.3803 Å; angles 90.00, 90.00, 90.00 degrees
Site moments in Bohr magnetons follow the coordinates.
Positions (direct):
Re1 0.0000 0.0000 0.5000  0.94
Re2 0.5000 0.0000 0.0000  0.94
Re3 0.0000 0.5000 0.0000  0.94
Re4 0.5000 0.5000 0.5000  0.94
Na1 0.0000 0.5000 0.5000  0.01
Na2 0.5000 0.5000 0.0000  0.01
Na3 0.5000 0.0000 0.5000  0.01
Na4 0.0000 0.0000 0.0000  0.01

***

Record 7
## Ti4Co (PBE)

Data for crystalline Ti4Co at its relaxed geometry.

- energy of formation (eV/atom) = 0.31
- offset from the most stable computed form (eV/atom) = 0.297
- total magnetic moment (μB/f.u.) = 0.00
- final energy (eV per atom) = -7.427

Cell lengths 4.4836, 4.4836, 4.4836 Å; angles 90.00, 90.00, 90.00 degrees
Positions (direct):
Ti1 0.0000 0.0000 0.0000
Ti2 0.5000 0.0000 0.5000
Ti3 0.5000 0.5000 0.0000
Ti4 0.0000 0.5000 0.5000
Co1 0.5000 0.5000 0.5000

***

Record 8
## HfPaSb2 (PBE)

Data for crystalline HfPaSb2 at its relaxed geometry.

- offset from the most stable computed form (eV/atom) = 0.022
- total magnetic moment (μB/f.u.) = 0.25
- ΔE_f (raw) (meV/atom) = -397
- final energy (eV per atom) = -7.321

Cell lengths 5.1403, 5.1403, 5.1403 Å; angles 60.00, 60.00, 60.00 degrees
Site moments in Bohr magnetons follow the coordinates.
Positions (direct):
Sb1 0.7500 0.7500 0.7500  0.00
Sb2 0.2500 0.2500 0.2500  0.00
Pa1 0.0000 0.0000 0.0000  0.10
Hf1 0.5000 0.5000 0.5000  0.08

***

Record 9
## TbDyPb2 (PBE)

Data for crystalline TbDyPb2 at its relaxed geometry.

- energy of formation (eV/atom) = -0.49
- total magnetic moment (μB/f.u.) = 0.00
- final energy (eV per atom) = -4.650

Cell lengths 4.5118, 4.4548, 6.2628 Å; angles 90.00, 111.04, 90.00 degrees
Positions (direct):
Dy1 0.4545 0.5000 0.4451
Tb1 0.7110 0.0000 0.9638
Pb1 0.1818 0.5000 0.9063
Pb2 0.9837 0.0000 0.5028

***

Record 10
## CaHoTmLu (PBE)

Data for crystalline CaHoTmLu at its relaxed geometry.

- energy of formation (eV/atom) = 0.18
- total magnetic moment (μB/f.u.) = 0.00
- final energy (eV per atom) = -3.712

Cell lengths 5.6725, 5.6725, 5.6725 Å; angles 60.00, 60.00, 60.00 degrees
Positions (direct):
Ca1 0.2500 0.2500 0.2500
Ho1 0.0000 0.0000 0.0000
Lu1 0.7500 0.7500 0.7500
Tm1 0.5000 0.5000 0.5000

***

Record 11
## La2InTe (PBE)

Data for crystalline La2InTe at its relaxed geometry.

- offset from the most stable computed form (eV/atom) = 0.233
- total magnetic moment (μB/f.u.) = 0.00
- ΔE_f (raw) (meV/atom) = -814
- final energy (eV per atom) = -4.748

Cell lengths 5.7692, 5.7692, 5.7692 Å; angles 125.58, 125.58, 80.58 degrees
Positions (direct):
Te1 0.2500 0.7500 0.5000
La1 0.0000 0.0000 0.0000
La2 0.5000 0.5000 0.0000
In1 0.7500 0.2500 0.5000

***

Record 12
## SrCrRe2 (PBE)

Data for crystalline SrCrRe2 at its relaxed geometry.

- energy of formation (eV/atom) = 0.74
- offset from the most stable computed form (eV/atom) = 0.116
- total magnetic moment (μB/f.u.) = 0.01
- final energy (eV per atom) = -8.311

Cell lengths 4.9834, 4.9834, 5.8770 Å; angles 76.94, 76.94, 36.04 degrees
Positions (direct):
Cr1 0.2892 0.2892 0.1274
Re1 0.7164 0.7164 0.8720
Re2 0.9943 0.9943 0.0018
Sr1 0.5001 0.5001 0.4988

***

Record 13
## TmSc3O (PBE)

Data for crystalline TmSc3O at its relaxed geometry.

- offset from the most stable computed form (eV/atom) = 0.000
- total magnetic moment (μB/f.u.) = 0.00
- ΔE_f (raw) (meV/atom) = -1138
- final energy (eV per atom) = -6.823

Cell lengths 5.2187, 5.9774, 6.5882 Å; angles 89.83, 90.00, 90.00 degrees
Positions (direct):
Sc1 0.9345 0.9905 0.6998
Sc2 0.4346 0.3623 0.2018
Sc3 0.9242 0.5429 0.9534
Sc4 0.4248 0.8102 0.4529
Sc5 0.4242 0.8098 0.9481
Sc6 0.9248 0.5426 0.4486
O1 0.1729 0.6717 0.7007
O2 0.6729 0.6810 0.2008
Tm1 0.9218 0.0168 0.1997
Tm2 0.4217 0.3360 0.7018

***

Record 14
## Li2OsC (PBE)

Data for crystalline Li2OsC at its relaxed geometry.

- energy of formation (eV/atom) = 0.53
- total magnetic moment (μB/f.u.) = 0.00
- final energy (eV per atom) = -5.539

Cell lengths 6.8420, 6.8420, 5.2262 Å; angles 49.11, 49.11, 90.00 degrees
Positions (direct):
Li1 0.2053 0.6250 0.2500
Li2 0.3750 0.4553 0.7500
Li3 0.8750 0.7947 0.7500
Li4 0.5447 0.1250 0.2500
Os1 0.0000 0.0000 0.0000
Os2 0.7500 0.2500 0.5000
C1 0.2500 0.7500 0.5000
C2 0.5000 0.5000 0.0000

***

Record 15
## SrCa2Te2 (PBE)

Data for crystalline SrCa2Te2 at its relaxed geometry.

- offset from the most stable computed form (eV/atom) = 0.000
- total magnetic moment (μB/f.u.) = 0.00
- ΔE_f (raw) (meV/atom) = -1190
- final energy (eV per atom) = -3.584

Cell lengths 8.7332, 8.7332, 4.3784 Å; angles 90.00, 90.00, 90.00 degrees
Positions (direct):
Te1 0.6508 0.1508 0.0000
Te2 0.8492 0.6508 0.0000
Te3 0.1508 0.3492 0.0000
Te4 0.3492 0.8492 0.0000
Sr1 0.0000 0.0000 0.0000
Sr2 0.5000 0.5000 0.0000
Ca1 0.8469 0.3469 0.5000
Ca2 0.6531 0.8469 0.5000
Ca3 0.1531 0.6531 0.5000
Ca4 0.3469 0.1531 0.5000

***

Record 16
## MgGa4Pb (PBE)

Data for crystalline MgGa4Pb at its relaxed geometry.

- energy of formation (eV/atom) = 0.02
- total magnetic moment (μB/f.u.) = 0.00
- final energy (eV per atom) = -2.883

Cell lengths 5.6895, 5.6895, 5.6895 Å; angles 60.00, 60.00, 60.00 degrees
Positions (direct):
Ga1 0.6244 0.1269 0.6244
Ga2 0.6244 0.6244 0.6244
Ga3 0.6244 0.6244 0.1269
Ga4 0.1269 0.6244 0.6244
Mg1 0.2500 0.2500 0.2500
Pb1 0.0000 0.0000 0.0000

***

Record 17
## Pr6Co2AuCl3 (PBE)

Data for crystalline Pr6Co2AuCl3 at its relaxed geometry.

- total magnetic moment (μB/f.u.) = 0.00
- ΔE_f (raw) (meV/atom) = -901
- final energy (eV per atom) = -5.210

Cell lengths 4.0965, 8.9647, 9.8183 Å; angles 108.66, 102.04, 90.00 degrees
Positions (direct):
Cl1 0.8310 0.1616 0.6621
Cl2 0.1690 0.8384 0.3379
Cl3 0.5000 0.5000 0.0000
Au1 0.5000 0.0000 0.0000
Pr1 0.9784 0.7444 0.9569
Pr2 0.3177 0.4368 0.6355
Pr3 0.0216 0.2556 0.0431
Pr4 0.3356 0.8778 0.6713
Pr5 0.6644 0.1222 0.3287
Pr6 0.6823 0.5632 0.3645
Co1 0.8323 0.6627 0.6647
Co2 0.1677 0.3373 0.3353

***

Record 18
## MoPtSe (PBE)

Data for crystalline MoPtSe at its relaxed geometry.

- offset from the most stable computed form (eV/atom) = 0.005
- total magnetic moment (μB/f.u.) = 0.00
- ΔE_f (raw) (meV/atom) = -69
- final energy (eV per atom) = -6.855

Cell lengths 4.3561, 4.3561, 8.2979 Å; angles 74.78, 74.78, 60.00 degrees
Positions (direct):
Pt1 0.8305 0.8305 0.5084
Pt2 0.1695 0.1695 0.4916
Se1 0.7253 0.7253 0.8241
Se2 0.2747 0.2747 0.1759
Mo1 0.4472 0.4472 0.6584
Mo2 0.5528 0.5528 0.3416

***

Record 19
## HoPuNiIr (PBE)

Data for crystalline HoPuNiIr at its relaxed geometry.

- energy of formation (eV/atom) = -0.44
- total magnetic moment (μB/f.u.) = 5.35
- final energy (eV per atom) = -8.826

Cell lengths 4.8069, 4.8069, 4.8069 Å; angles 60.00, 60.00, 60.00 degrees
Site moments in Bohr magnetons follow the coordinates.
Positions (direct):
Ho1 0.2500 0.2500 0.2500  0.17
Ni1 0.5000 0.5000 0.5000  -0.03
Ir1 0.0000 0.0000 0.0000  -0.14
Pu1 0.7500 0.7500 0.7500  5.09

***

Record 20
## Cs2Cd3In5 (PBE)

Data for crystalline Cs2Cd3In5 at its relaxed geometry.

- energy of formation (eV/atom) = -0.07
- offset from the most stable computed form (eV/atom) = 0.011
- total magnetic moment (μB/f.u.) = 0.00
- final energy (eV per atom) = -1.884

Cell lengths 7.1986, 10.2702, 10.2702 Å; angles 78.49, 69.48, 69.48 degrees
Positions (direct):
Cs1 0.8759 0.3713 0.8768
Cs2 0.1241 0.6287 0.1232
Cs3 0.6241 0.1232 0.6287
Cs4 0.3759 0.8768 0.3713
In1 0.0048 0.7452 0.7452
In2 0.6280 0.7430 0.0010
In3 0.8720 0.9990 0.2570
In4 0.5048 0.7452 0.7452
In5 0.3720 0.2570 0.9990
In6 0.7500 0.5000 0.5000
In7 0.2500 0.5000 0.5000
In8 0.9952 0.2548 0.2548
In9 0.1280 0.0010 0.7430
In10 0.4952 0.2548 0.2548
Cd1 0.3753 0.4880 0.7614
Cd2 0.6247 0.5120 0.2386
Cd3 0.2500 0.0000 0.0000
Cd4 0.1247 0.2386 0.5120
Cd5 0.8753 0.7614 0.4880
Cd6 0.7500 0.0000 0.0000